[1]
Below is crystalline NpHgSbPd at its relaxed geometry, with properties calculated at the PBE level.

E_form (uncorrected), meV/atom: -104

Lattice parameters (Å, degrees): 5.033 5.033 5.033 60.00 60.00 60.00
Last column: magnetic moment on the atom in μB.
Fractional positions:
1 Hg 0.750 0.750 0.750  0.00
2 Sb 0.250 0.250 0.250  -0.04
3 Np 0.500 0.500 0.500  3.88
4 Pd 0.000 0.000 0.000  0.03

[2]
Below is crystalline NpSnHgPd at its relaxed geometry, with properties calculated at the PBE level.

DFT formation energy, meV/atom: -96

Lattice parameters (Å, degrees): 5.020 5.020 5.020 60.00 60.00 60.00
Last column: magnetic moment on the atom in μB.
Fractional positions:
1 Hg 0.500 0.500 0.500  0.02
2 Sn 0.750 0.750 0.750  -0.02
3 Pd 0.000 0.000 0.000  -0.06
4 Np 0.250 0.250 0.250  3.90

[3]
Below is crystalline PmNpHg2 at its relaxed geometry, with properties calculated at the PBE level.

DFT formation energy, meV/atom: -49
Energy above the most stable polymorph in this dataset, kJ/mol of formula units: 1.5

Lattice parameters (Å, degrees): 3.539 5.505 5.505 90.00 90.00 90.00
Last column: magnetic moment on the atom in μB.
Fractional positions:
1 Hg 0.000 0.500 0.000  0.04
2 Np 0.500 0.000 0.000  4.32
3 Pm 0.500 0.500 0.500  0.21
4 Hg 0.000 0.000 0.500  0.04

[4]
Below is crystalline PmNpHg2 at its relaxed geometry, with properties calculated at the PBE level.

DFT formation energy, meV/atom: -53
Energy above the most stable polymorph in this dataset, kJ/mol of formula units: 0.0

Lattice parameters (Å, degrees): 3.304 3.304 9.329 90.00 90.00 90.00
Last column: magnetic moment on the atom in μB.
Fractional positions:
1 Hg 0.000 0.000 0.250  0.00
2 Pm 0.500 0.500 0.500  0.01
3 Hg 0.000 0.000 0.750  0.00
4 Np 0.500 0.500 0.000  4.25

Result set for DOS(E_F): 11.627, 8.442, 8.957, 7.781 states/eV/f.u., one per record in the order listed.